The following is a DFT calculation (PBE) of an optimized crystal structure of NaYb3Ti2Sb2O14. Values from VASP.

## Properties
Formation energy from raw total energies, eV/atom: -2.422
Total DFT energy (no corrections), eV per atom: -6.938
V, Å³/atom: 12.47
Crystal system: monoclinic

```
&SYSTEM
  ibrav = 0, nat = 22, ntyp = 5
/
ATOMIC_SPECIES
O 16.00 O.upf
Sb 121.76 Sb.upf
Yb 173.04 Yb.upf
Na 22.99 Na.upf
Ti 47.87 Ti.upf
CELL_PARAMETERS angstrom
-4.0213 5.7289 1.9982
-5.8137 -1.0377 4.2554
0.1744 2.2440 6.8656
ATOMIC_POSITIONS crystal
O 0.1338 0.1338 0.1307
O 0.1751 0.5769 0.5788
Sb 0.0000 0.5000 0.5000
O 0.4354 0.8233 0.8256
Yb 0.0000 0.0000 0.5000
Sb 0.5000 0.0000 0.5000
O 0.1767 0.5646 0.1744
O 0.8662 0.8662 0.8693
O 0.4231 0.8249 0.4212
O 0.8309 0.8309 0.4249
O 0.8233 0.4354 0.8256
Na 0.0000 0.0000 0.0000
Yb 0.0000 0.5000 0.0000
O 0.5769 0.1751 0.5788
O 0.8249 0.4231 0.4212
Ti 0.5000 0.5000 0.5000
O 0.5696 0.5696 0.1821
Ti 0.5000 0.5000 0.0000
O 0.1691 0.1691 0.5751
Yb 0.5000 0.0000 0.0000
O 0.4304 0.4304 0.8179
O 0.5646 0.1767 0.1744
```

The following is a DFT calculation (PBE) of an optimized crystal structure of KGdBr3. Values from VASP.

## Properties
Formation energy from raw total energies, eV/atom: -1.585
Total DFT energy (no corrections), eV per atom: -5.625
V, Å³/atom: 38.19
Crystal system: cubic

```
&SYSTEM
  ibrav = 0, nat = 5, ntyp = 3
/
ATOMIC_SPECIES
K 39.10 K.upf
Br 79.90 Br.upf
Gd 157.25 Gd.upf
CELL_PARAMETERS angstrom
-2.5563 -2.8009 4.3339
3.7631 -4.3212 -0.5731
3.5308 2.5777 3.7485
ATOMIC_POSITIONS crystal
K 0.5000 0.5000 0.5000
Br 0.0000 0.0000 0.5000
Br 0.5000 0.0000 0.0000
Gd 0.0000 0.0000 0.0000
Br 0.0000 0.5000 0.0000
```

The following is a DFT calculation (PBE) of an optimized crystal structure of La3Sm3HoTe8. Values from VASP.

## Properties
Formation energy from raw total energies, eV/atom: -1.500
Total DFT energy (no corrections), eV per atom: -5.410
V, Å³/atom: 34.16
Crystal system: trigonal

```
&SYSTEM
  ibrav = 0, nat = 15, ntyp = 4
/
ATOMIC_SPECIES
Te 127.60 Te.upf
La 138.91 La.upf
Sm 150.36 Sm.upf
Ho 164.93 Ho.upf
CELL_PARAMETERS angstrom
-4.6796 6.5219 -3.9524
-4.1142 -5.7959 5.4343
5.6389 6.1340 3.4457
ATOMIC_POSITIONS crystal
Te 0.2534 0.0059 0.2584
Te 0.2475 0.9941 0.7416
La 0.5000 0.5000 0.0000
Te 0.7466 0.9941 0.7416
Te 0.2476 0.4951 0.7417
Sm 0.5000 0.5000 0.5000
Sm 0.5000 0.0000 0.5000
Te 0.7471 0.4942 0.7414
La 0.0000 0.5000 0.0000
Te 0.7524 0.5049 0.2583
La 0.0000 0.0000 0.0000
Te 0.7525 0.0059 0.2584
Te 0.2529 0.5058 0.2586
Sm 0.0000 0.5000 0.5000
Ho 0.0000 0.0000 0.5000
```

The following is a DFT calculation (PBE) of an optimized crystal structure of Nd4SnSe2Br. Values from VASP.

## Properties
Formation energy from raw total energies, eV/atom: -1.416
Total DFT energy (no corrections), eV per atom: -5.380
V, Å³/atom: 29.00
Crystal system: monoclinic

```
&SYSTEM
  ibrav = 0, nat = 8, ntyp = 4
/
ATOMIC_SPECIES
Sn 118.71 Sn.upf
Nd 144.24 Nd.upf
Se 78.96 Se.upf
Br 79.90 Br.upf
CELL_PARAMETERS angstrom
4.3163 0.0000 0.0000
0.0000 7.5658 -0.1871
0.0000 2.6241 7.0394
ATOMIC_POSITIONS crystal
Sn 0.5000 0.5000 0.0000
Nd 0.5000 0.2231 0.7708
Nd 0.5000 0.7769 0.2292
Se 0.0000 0.0000 0.0000
Nd 0.0000 0.2317 0.2476
Se 0.5000 0.0000 0.5000
Nd 0.0000 0.7683 0.7524
Br 0.0000 0.5000 0.5000
```

The following is a DFT calculation (PBE) of an optimized crystal structure of Bi3As2O10. Values from VASP.

## Properties
Formation energy from raw total energies, eV/atom: -1.190
Total DFT energy (no corrections), eV per atom: -5.891
V, Å³/atom: 14.70
Crystal system: triclinic

```
&SYSTEM
  ibrav = 0, nat = 30, ntyp = 3
/
ATOMIC_SPECIES
O 16.00 O.upf
As 74.92 As.upf
Bi 208.98 Bi.upf
CELL_PARAMETERS angstrom
-2.0325 -5.7072 3.5321
7.0996 -2.2733 -0.0304
-1.3074 7.3487 5.9348
ATOMIC_POSITIONS crystal
O 0.4838 0.5000 0.7401
O 0.1190 0.3862 0.1855
O 0.3881 0.1370 0.0467
O 0.2176 0.8870 0.6886
O 0.1026 0.4419 0.6054
O 0.6420 0.8278 0.5507
O 0.8938 0.1624 0.6313
O 0.9421 0.0248 0.8694
As 0.3095 0.3638 0.1021
O 0.5162 0.5000 0.2599
Bi 0.7773 0.3813 0.5130
O 0.7824 0.1130 0.3114
As 0.7651 0.0405 0.7082
Bi 0.7264 0.7683 0.3064
O 0.6074 0.1738 0.8008
Bi 0.2227 0.6187 0.4870
O 0.8974 0.5581 0.3946
O 0.1062 0.8376 0.3687
O 0.6119 0.8630 0.9533
O 0.2590 0.4243 0.9386
Bi 0.2005 0.8396 0.9012
O 0.8810 0.6138 0.8145
As 0.6905 0.6362 0.8979
Bi 0.7995 0.1604 0.0988
O 0.0579 0.9752 0.1306
O 0.3926 0.8262 0.1992
O 0.3580 0.1722 0.4493
O 0.7410 0.5757 0.0614
As 0.2349 0.9595 0.2918
Bi 0.2736 0.2317 0.6936
```

The following is a DFT calculation (PBE) of an optimized crystal structure of InOs4Cl. Values from VASP.

## Properties
Formation energy from raw total energies, eV/atom: 1.253
Total DFT energy (no corrections), eV per atom: -6.998
V, Å³/atom: 17.55
Crystal system: cubic

```
&SYSTEM
  ibrav = 0, nat = 6, ntyp = 3
/
ATOMIC_SPECIES
Cl 35.45 Cl.upf
Os 190.23 Os.upf
In 114.82 In.upf
CELL_PARAMETERS angstrom
0.0000 3.7483 3.7483
3.7483 0.0000 3.7483
3.7483 3.7483 0.0000
ATOMIC_POSITIONS crystal
Cl 0.7500 0.7500 0.7500
Os 0.3752 0.3752 0.8745
Os 0.8745 0.3752 0.3752
Os 0.3752 0.8745 0.3752
In 0.0000 0.0000 0.0000
Os 0.3752 0.3752 0.3752
```

The following is a DFT calculation (PBE) of an optimized crystal structure of Ba2UReO8. Values from VASP.

## Properties
Formation energy from raw total energies, eV/atom: -2.614
Total DFT energy (no corrections), eV per atom: -8.218
V, Å³/atom: 18.81
Crystal system: triclinic

```
&SYSTEM
  ibrav = 0, nat = 12, ntyp = 4
/
ATOMIC_SPECIES
O 16.00 O.upf
U 238.03 U.upf
Re 186.21 Re.upf
Ba 137.33 Ba.upf
CELL_PARAMETERS angstrom
-6.0257 -1.8391 1.6835
3.6854 0.3599 4.7337
0.0571 6.3426 1.3014
ATOMIC_POSITIONS crystal
O 0.0812 0.8192 0.2870
O 0.0680 0.7970 0.8336
O 0.9188 0.1808 0.7130
U 0.0000 0.0000 0.5000
O 0.7067 0.7885 0.9838
O 0.2933 0.2115 0.0162
Re 0.0000 0.0000 0.0000
O 0.7015 0.7617 0.4815
O 0.2985 0.2383 0.5185
Ba 0.6637 0.3871 0.8207
O 0.9320 0.2030 0.1664
Ba 0.3363 0.6129 0.1793
```

The following is a DFT calculation (PBE) of an optimized crystal structure of SrTm4Rh5. Values from VASP.

## Properties
Formation energy from the elements, kcal/mol of atoms: -18.71
Total DFT energy (no corrections), eV per atom: -6.444
V, Å³/atom: 20.09
Crystal system: tetragonal

```
&SYSTEM
  ibrav = 0, nat = 10, ntyp = 3
/
ATOMIC_SPECIES
Rh 102.91 Rh.upf
Sr 87.62 Sr.upf
Tm 168.93 Tm.upf
CELL_PARAMETERS angstrom
-0.6427 2.7130 1.9180
-2.1133 -1.8412 1.8963
13.2906 -4.3419 10.5957
ATOMIC_POSITIONS crystal
Rh 0.5000 0.5000 0.8776
Sr 0.0000 0.0000 0.0000
Tm 0.0000 0.0000 0.4030
Rh 0.5000 0.5000 0.5000
Rh 0.5000 0.5000 0.1224
Tm 0.0000 0.0000 0.5970
Tm 0.0000 0.0000 0.2085
Tm 0.0000 0.0000 0.7915
Rh 0.5000 0.5000 0.6913
Rh 0.5000 0.5000 0.3087
```